This record from the Alexandria database describes crystalline MgMn2AsO4 at its relaxed geometry. The functional is PBE+U.

CIF file:
```
data_MgMn2AsO4
_chemical_formula_sum 'Mg4 Mn8 As4 O16'
_cell_length_a 8.4712
_cell_length_b 8.7543
_cell_length_c 6.3736
_cell_angle_alpha 90.00
_cell_angle_beta 125.51
_cell_angle_gamma 90.00
_symmetry_space_group_name_H-M 'C 1 2/c 1'
_symmetry_Int_Tables_number 15
_symmetry_space_group_name_Hall '-C 2yc'
loop_
_atom_site_label
_atom_site_type_symbol
_atom_site_fract_x
_atom_site_fract_y
_atom_site_fract_z
Mg1 Mg 0.2500 0.2500 0.0000
Mn1 Mn 0.0000 0.0000 0.0000
Mn2 Mn 0.2500 0.2500 0.5000
As1 As 0.0000 0.5000 0.0000
O1 O 0.0047 0.2538 0.0007
O2 O 0.2102 0.0085 0.9043
```

Summary:
Its final energy is -6.58 eV per atom. As for the crystal system: monoclinic.